A relaxed structure of Re2SnAsBr. Source: Alexandria, functional PBE.

The structure in extended XYZ format:
```
5
Lattice="-3.5911 1.0190 2.8197 -0.4236 -5.7354 1.5331 2.9796 0.7243 3.5330" Properties=species:S:1:pos:R:3 pbc="T T T"
Re 1.4898 0.3622 1.7665
Re -1.7956 0.5095 1.4099
As 0.0000 0.0000 0.0000
Sn -0.2118 -2.8677 0.7666
Br -0.5175 -1.9961 3.9429
```

Properties
ρ = 8.23 g cm⁻³
total DFT energy (no corrections) = -27.41 eV/cell
formation energy without anion corrections = 1562 meV/atom

=====

A relaxed structure of TaReAsBr2. Source: Alexandria, functional PBE.

The structure in extended XYZ format:
```
5
Lattice="5.0644 0.0000 0.0000 0.0000 5.0644 0.0000 0.0000 0.0000 4.8087" Properties=species:S:1:pos:R:3 pbc="T T T"
Re 0.0000 0.0000 0.0000
As 0.0000 0.0000 2.4043
Br 0.0000 2.5322 0.0000
Br 2.5322 0.0000 0.0000
Ta 2.5322 2.5322 2.4043
```

Properties
ρ = 8.10 g cm⁻³
energy above the lowest structure with this stoichiometry = 239 meV/atom
total DFT energy (no corrections) = -24.92 eV/cell
formation energy without anion corrections = 1476 meV/atom